# 1
{
  "formula": "Mn2TePb",
  "functional": "GGA-PBE",
  "state": "relaxed",
  "final_energy_ev_per_atom": -5.898,
  "formation_energy_uncorrected_ev_per_fu": 1.60,
  "spacegroup": "Cmmm, No. 65",
  "density_g_cm3": 8.54,
  "n_ef_per_ev_fu": 2.428,
  "lattice_angstrom": [[-1.961, 4.097, -1.671], [1.778, -1.734, -4.154], [-3.218, -1.796, -0.627]],
  "species": ["Mn", "Mn", "Pb", "Te"],
  "frac_coords": [[0.000, 0.000, 0.000], [0.500, 0.500, 0.000], [0.500, 0.000, 0.500], [0.000, 0.500, 0.500]]
}

***

# 2
{
  "formula": "Mn2TePb",
  "functional": "GGA-PBE",
  "state": "relaxed",
  "final_energy_ev_per_atom": -5.943,
  "formation_energy_uncorrected_ev_per_fu": 1.42,
  "spacegroup": "P2/m, No. 10",
  "density_g_cm3": 8.61,
  "n_ef_per_ev_fu": 3.353,
  "lattice_angstrom": [[3.471, 0.000, 0.000], [0.000, 3.523, 0.046], [0.000, 2.086, 7.039]],
  "species": ["Pb", "Mn", "Te", "Mn"],
  "frac_coords": [[0.500, 0.250, 0.250], [0.000, 0.108, 0.953], [0.500, 0.750, 0.750], [0.000, 0.392, 0.547]]
}

***

# 3
{
  "formula": "Mn2TePb",
  "functional": "GGA-PBE",
  "state": "relaxed",
  "final_energy_ev_per_atom": -6.041,
  "formation_energy_uncorrected_ev_per_fu": 1.03,
  "spacegroup": "Amm2, No. 38",
  "density_g_cm3": 8.82,
  "n_ef_per_ev_fu": 4.110,
  "lattice_angstrom": [[5.653, -0.019, -0.021], [4.358, 3.601, -0.021], [0.014, 0.005, 4.096]],
  "species": ["Pb", "Mn", "Te", "Mn"],
  "frac_coords": [[0.514, 0.514, 0.625], [0.791, 0.791, 0.625], [0.235, 0.235, 0.125], [0.960, 0.960, 0.125]]
}